# SrPr4Tl4

SrPr4Tl4 after structural relaxation (PBE, Alexandria via LeMat-Bulk).

Results
The formation enthalpy at 0 K comes out at -1.69 eV per formula unit.

abc: 9.764 9.764 6.225
angles: 90.00 90.00 90.00
Space group P4_2/n (No. 86, origin choice 2)
Inequivalent atoms, fractional coordinates:
Sr  0.250  0.250  0.250
Pr  0.094  0.832  0.629
Tl  0.038  0.140  0.859

=====

# ScSe7

ScSe7 after structural relaxation (PBE, Alexandria via LeMat-Bulk).

Results
The uncorrected formation energy comes out at 0.16 eV/atom.

abc: 8.688 8.688 8.688
angles: 90.00 90.00 90.00
Space group Fm-3m (No. 225)
Inequivalent atoms, fractional coordinates:
Sc  0.000  0.000  0.000
Se  0.000  0.000  0.500
Se  0.000  0.250  0.250

=====

# EuGdMg

EuGdMg after structural relaxation (PBE, Alexandria via LeMat-Bulk).

Results
The energy above the lowest structure with this stoichiometry comes out at 0.000 eV per atom. The formation enthalpy at 0 K comes out at 0.19 eV per formula unit.

abc: 5.6162 5.6162 3.4274
angles: 90.00 90.00 120.00
Space group P3m1 (No. 156)
Inequivalent atoms, fractional coordinates:
Eu  0.0000  0.0000  0.0000
Gd  0.3333  0.6667  0.6344
Mg  0.6667  0.3333  0.3052

=====

# Sm4In2Sn

Sm4In2Sn after structural relaxation (PBE, Alexandria via LeMat-Bulk).

Results
The energy above the lowest structure with this stoichiometry comes out at 0.091 eV per atom. The formation enthalpy at 0 K comes out at -2.59 eV per formula unit.

abc: 5.3539 5.3539 26.2327
angles: 90.00 90.00 120.00
Space group R-3m (No. 166, hexagonal axes)
Inequivalent atoms, fractional coordinates:
Sm  0.0000  0.0000  0.1209
Sm  0.0000  0.0000  0.3736
In  0.0000  0.0000  0.2536
Sn  0.0000  0.0000  0.5000

=====

no.,density of states at the Fermi level (states/eV/f.u.),calculated volume (Å³/f.u.),total magnetization (μB/f.u.)
1,8.2,297,0.00
2,5.1,164,0.00
3,4.1,94,0.05
4,7.0,217,0.00